(1)
# K5RbNa6 | Alexandria | PBE | optimized geometry
data_K5RbNa6
_chemical_formula_sum 'K5 Rb1 Na6'
_cell_length_a 6.770
_cell_length_b 11.670
_cell_length_c 11.670
_cell_angle_alpha 119.84
_cell_angle_beta 106.63
_cell_angle_gamma 106.63
_space_group_name_H-M_alt 'P 1'
_space_group_IT_number 1
_space_group_name_Hall 'P 1'
loop_
_atom_site_label
_atom_site_type_symbol
_atom_site_fract_x
_atom_site_fract_y
_atom_site_fract_z
Na1 Na 0.259 0.088 0.428
Na2 Na 0.741 0.572 0.912
Na3 Na 0.765 0.265 0.265
Na4 Na 0.235 0.735 0.735
Na5 Na 0.259 0.428 0.088
Na6 Na 0.741 0.912 0.572
K1 K 0.500 0.163 0.837
K2 K 0.000 0.331 0.669
K3 K 0.500 0.500 0.500
K4 K 0.000 0.669 0.331
K5 K 0.500 0.837 0.163
Rb1 Rb 0.000 0.000 0.000
# **Crystal system**: monoclinic
# **Volume**: 656.6 Å³/cell
# **Relative energy among the computed polymorphs**: 0.000 eV per atom
# **Magnetic moment**: 0.00 μB/cell
# **Formation energy**: 25.8 meV/atom

(2)
# Pm2Tm4Th | Alexandria | PBE | optimized geometry
data_Pm2Tm4Th
_chemical_formula_sum 'Pm2 Tm4 Th1'
_cell_length_a 3.585
_cell_length_b 3.585
_cell_length_c 20.122
_cell_angle_alpha 95.13
_cell_angle_beta 90.00
_cell_angle_gamma 120.00
_space_group_name_H-M_alt 'P 1'
_space_group_IT_number 1
_space_group_name_Hall 'P 1'
loop_
_atom_site_label
_atom_site_type_symbol
_atom_site_fract_x
_atom_site_fract_y
_atom_site_fract_z
Pm1 Pm 0.619 0.238 0.094
Pm2 Pm 0.715 0.430 0.381
Tm1 Tm 0.904 0.807 0.949
Tm2 Tm 0.429 0.858 0.525
Tm3 Tm 0.001 0.001 0.238
Tm4 Tm 0.524 0.049 0.812
Th1 Th 0.810 0.620 0.669
# **Crystal system**: monoclinic
# **Volume**: 222.8 Å³/cell
# **Relative energy among the computed polymorphs**: 0.000 eV per atom
# **Magnetic moment**: 0.00 μB/cell
# **Formation energy**: 24.8 meV/atom

(3)
# CrInIr2S | Alexandria | PBE | optimized geometry
data_CrInIr2S
_chemical_formula_sum 'Cr1 In1 Ir2 S1'
_cell_length_a 4.529
_cell_length_b 4.204
_cell_length_c 4.529
_cell_angle_alpha 90.00
_cell_angle_beta 90.00
_cell_angle_gamma 90.00
_space_group_name_H-M_alt 'P 1'
_space_group_IT_number 1
_space_group_name_Hall 'P 1'
loop_
_atom_site_label
_atom_site_type_symbol
_atom_site_fract_x
_atom_site_fract_y
_atom_site_fract_z
Cr1 Cr 0.000 0.500 0.000
S1 S 0.000 0.000 0.000
Ir1 Ir 0.000 0.000 0.500
Ir2 Ir 0.500 0.000 0.000
In1 In 0.500 0.500 0.500
# **Crystal system**: tetragonal
# **Volume**: 86.2 Å³/cell
# **Raw formation energy**: 0.398 eV per atom
# **Magnetic moment**: 1.55 μB/cell

| no. | final energy (eV/atom) | density of states at the Fermi level (states/eV/cell) |
| --- | --- | --- |
| 1 | -1.172 | 6.3 |
| 2 | -4.948 | 11.7 |
| 3 | -6.445 | 4.5 |